[1]
Ce6Zn2N: relaxed, PBE-GGA.

Unit cell a=6.372 b=6.373 c=10.075 alpha=90.00 beta=90.02 gamma=90.00
Atoms (fractional coordinates):
1 Ce 0.498 0.500 0.769
2 Ce 0.221 0.776 0.000
3 Ce 0.279 0.276 0.500
4 Ce 0.002 0.000 0.731
5 Ce 0.724 0.278 0.500
6 Ce 0.776 0.778 0.000
7 Ce 0.779 0.224 0.000
8 Ce 0.998 0.000 0.269
9 Ce 0.276 0.722 0.500
10 Ce 0.721 0.724 0.500
11 Ce 0.224 0.222 0.000
12 Ce 0.502 0.500 0.231
13 Zn 0.502 0.000 0.750
14 Zn 0.498 0.000 0.250
15 Zn 0.998 0.500 0.750
16 Zn 0.002 0.500 0.250
17 N 0.500 0.500 0.000
18 N 0.000 0.000 0.500

Calculated values
E_tot   -5.5172 eV/atom
Space group   P2_1/c, No. 14
Formation energy (no corrections)   -353 meV per atom

=====

[2]
BeGa3N: relaxed, PBE-GGA.

Unit cell a=4.258 b=4.258 c=4.258 alpha=90.00 beta=90.00 gamma=90.00
Atoms (fractional coordinates):
1 Be 0.500 0.500 0.500
2 Ga 0.000 0.500 0.000
3 Ga 0.000 0.000 0.500
4 Ga 0.500 0.000 0.000
5 N 0.000 0.000 0.000

Calculated values
E_tot   -3.5238 eV/atom
Space group   Pm-3m, No. 221
Relative energy among the computed polymorphs   0.000 eV per atom
Formation energy (no corrections)   703 meV per atom

=====

[3]
MgGaOs3: relaxed, PBE-GGA.

Unit cell a=4.547 b=4.547 c=4.547 alpha=90.00 beta=90.00 gamma=90.00
Atoms (fractional coordinates):
1 Os 0.000 0.000 0.500
2 Os 0.500 0.000 0.000
3 Os 0.000 0.500 0.000
4 Ga 0.000 0.000 0.000
5 Mg 0.500 0.500 0.500

Calculated values
E_tot   -6.0535 eV/atom
Space group   Pm-3m, No. 221
Relative energy among the computed polymorphs   0.000 eV per atom
Energy relative to the elements   776 kJ/mol of formula units

=====

[4]
LaTb2GeN4: relaxed, PBE-GGA.

Unit cell a=3.573 b=6.071 c=11.708 alpha=90.00 beta=90.00 gamma=107.11
Atoms (fractional coordinates):
1 Ge 0.165 0.330 0.250
2 Ge 0.835 0.670 0.750
3 La 0.903 0.806 0.250
4 La 0.097 0.194 0.750
5 N 0.582 0.165 0.250
6 N 0.418 0.835 0.750
7 N 0.000 0.000 0.000
8 N 0.731 0.463 0.874
9 N 0.269 0.537 0.374
10 N 0.731 0.463 0.626
11 N 0.269 0.537 0.126
12 N 0.000 0.000 0.500
13 Tb 0.631 0.261 0.456
14 Tb 0.631 0.261 0.044
15 Tb 0.369 0.739 0.544
16 Tb 0.369 0.739 0.956

Calculated values
E_tot   -7.6138 eV/atom
Space group   Cmcm, No. 63
Formation energy (no corrections)   -1100 meV per atom

=====

[5]
Be2ZnCo5W2: relaxed, PBE-GGA.

Unit cell a=2.863 b=8.771 c=8.771 alpha=90.00 beta=90.00 gamma=90.00
Atoms (fractional coordinates):
1 Co 0.500 0.564 0.713
2 Co 0.500 0.064 0.787
3 Co 0.500 0.936 0.213
4 Co 0.500 0.787 0.936
5 Co 0.500 0.287 0.564
6 Co 0.500 0.500 0.000
7 Co 0.500 0.713 0.436
8 Co 0.500 0.213 0.064
9 Co 0.500 0.000 0.500
10 Co 0.500 0.436 0.287
11 W 0.000 0.677 0.177
12 W 0.000 0.823 0.677
13 W 0.000 0.323 0.823
14 W 0.000 0.177 0.323
15 Be 0.000 0.622 0.878
16 Be 0.000 0.378 0.122
17 Be 0.000 0.878 0.378
18 Be 0.000 0.122 0.622
19 Zn 0.000 0.500 0.500
20 Zn 0.000 0.000 0.000

Calculated values
E_tot   -7.0846 eV/atom
Space group   P4/mbm, No. 127
Energy relative to the elements   -66 kJ/mol of formula units

=====

[6]
TbCeErHf: relaxed, PBE-GGA.

Unit cell a=5.415 b=5.415 c=5.415 alpha=60.00 beta=60.00 gamma=60.00
Atoms (fractional coordinates):
1 Er 0.750 0.750 0.750
2 Ce 0.500 0.500 0.500
3 Tb 0.000 0.000 0.000
4 Hf 0.250 0.250 0.250

Calculated values
E_tot   -6.0149 eV/atom
Space group   F-43m, No. 216
Energy relative to the elements   99 kJ/mol of formula units

=====

[7]
SrNi2Sn2: relaxed, PBE-GGA.

Unit cell a=8.123 b=8.123 c=3.075 alpha=90.00 beta=90.00 gamma=90.00
Atoms (fractional coordinates):
1 Sn 0.137 0.363 0.000
2 Sn 0.637 0.137 0.000
3 Sn 0.363 0.863 0.000
4 Sn 0.863 0.637 0.000
5 Sr 0.500 0.500 0.000
6 Sr 0.000 0.000 0.000
7 Ni 0.148 0.648 0.500
8 Ni 0.352 0.148 0.500
9 Ni 0.852 0.352 0.500
10 Ni 0.648 0.852 0.500

Calculated values
E_tot   -4.2808 eV/atom
Space group   P4/mbm, No. 127
Energy relative to the elements   -15 kJ/mol of formula units

=====

[8]
Ac2Ga5Ni: relaxed, PBE-GGA.

Unit cell a=6.616 b=6.616 c=6.616 alpha=83.38 beta=123.89 gamma=123.89
Atoms (fractional coordinates):
1 Ga 0.445 0.707 0.707
2 Ga 0.000 0.262 0.707
3 Ga 0.000 0.707 0.262
4 Ga 0.000 0.285 0.285
5 Ga 0.555 0.262 0.262
6 Ni 0.000 0.034 0.034
7 Ac 0.500 0.732 0.232
8 Ac 0.500 0.232 0.732

Calculated values
E_tot   -4.0417 eV/atom
Space group   I4mm, No. 107
Energy relative to the elements   -309 kJ/mol of formula units

=====

[9]
Nd14YTl: relaxed, PBE-GGA.

Unit cell a=7.261 b=7.261 c=10.335 alpha=90.00 beta=90.00 gamma=90.00
Atoms (fractional coordinates):
1 Nd 0.875 0.125 0.500
2 Nd 0.875 0.625 0.500
3 Nd 0.626 0.876 0.754
4 Nd 0.124 0.374 0.246
5 Nd 0.375 0.125 0.500
6 Nd 0.627 0.373 0.245
7 Nd 0.627 0.373 0.755
8 Nd 0.876 0.626 0.000
9 Nd 0.124 0.374 0.754
10 Nd 0.375 0.625 0.500
11 Nd 0.124 0.876 0.754
12 Nd 0.124 0.876 0.246
13 Nd 0.626 0.876 0.246
14 Nd 0.374 0.124 0.000
15 Tl 0.875 0.125 0.000
16 Y 0.375 0.625 0.000

Calculated values
E_tot   -4.7500 eV/atom
Space group   Amm2, No. 38
Energy relative to the elements   -41 kJ/mol of formula units

=====

[10]
Mg2CdTc: relaxed, PBE-GGA.

Unit cell a=4.199 b=2.886 c=6.676 alpha=63.90 beta=90.00 gamma=90.00
Atoms (fractional coordinates):
1 Cd 0.500 0.750 0.750
2 Mg 0.000 0.519 0.478
3 Mg 0.000 0.981 0.022
4 Tc 0.500 0.250 0.250

Calculated values
E_tot   -3.4407 eV/atom
Space group   P2/m, No. 10
Energy relative to the elements   68 kJ/mol of formula units

=====

[11]
CoSbAu2: relaxed, PBE-GGA.

Unit cell a=7.856 b=7.856 c=7.856 alpha=24.75 beta=24.75 gamma=24.75
Atoms (fractional coordinates):
1 Sb 0.763 0.763 0.763
2 Co 0.498 0.498 0.498
3 Au 0.241 0.241 0.241
4 Au 0.999 0.999 0.999

Calculated values
E_tot   -4.2116 eV/atom
Space group   R3m, No. 160
Formation energy (no corrections)   234 meV per atom

=====

[12]
TaCoPS2: relaxed, PBE-GGA.

Unit cell a=4.718 b=4.718 c=4.927 alpha=90.00 beta=90.00 gamma=90.00
Atoms (fractional coordinates):
1 Co 0.500 0.500 0.500
2 P 0.000 0.000 0.500
3 Ta 0.000 0.000 0.000
4 S 0.500 0.000 0.000
5 S 0.000 0.500 0.000

Calculated values
E_tot   -6.0185 eV/atom
Space group   P4/mmm, No. 123
Relative energy among the computed polymorphs   0.000 eV per atom
Formation energy (no corrections)   506 meV per atom